PBE BeMo2Os, relaxed; crystal system = monoclinic; magnetization = 0.0 μB per cell; symmetry = Cm, No. 8; E_form = 0.12 eV/atom; density of states at the Fermi level = 2.588 states/eV per cell; raw total energy = -9.04 eV per atom
1.0
-1.9992 1.1277 4.5432
0.2369 -0.8322 5.0161
2.0251 2.9434 2.6236
Be Mo Os
1 2 1
Direct
0.2434 0.2434 0.2034 Be
0.9815 0.9815 0.0569 Mo
0.7549 0.7549 0.7158 Mo
0.5202 0.5202 0.5239 Os